LiPr2HgO | PBE | relaxed

The structure belongs to space group P4/mmm (No. 123); the cell edges are 5.0684, 5.0684 and 4.2152 Å and the angles 90.00°, 90.00° and 90.00°. The inequivalent atoms are Li at (0.0000, 0.0000, 0.0000), Pr at (0.0000, 0.5000, 0.5000), Hg at (0.5000, 0.5000, 0.0000) and O at (0.0000, 0.0000, 0.5000).

The calculation puts the raw formation energy at -1.295 eV per atom. Its total magnetic moment is 0.00 μB per formula unit.


Li2Mg2BPd4 | PBE | relaxed

The structure belongs to space group I4/mmm (No. 139); the cell edges are 5.7251, 5.7251 and 8.0318 Å and the angles 90.00°, 90.00° and 90.00°. The inequivalent atoms are Li at (0.0000, 0.0000, 0.2221), Mg at (0.0000, 0.5000, 0.2500), B at (0.0000, 0.0000, 0.5000) and Pd at (0.2469, 0.2469, 0.0000).

The calculation puts the formation energy at -0.51 eV per atom. Its total magnetic moment is 0.00 μB per formula unit.


Repeat the first record exactly.
LiPr2HgO | PBE | relaxed

The structure belongs to space group P4/mmm (No. 123); the cell edges are 5.0684, 5.0684 and 4.2152 Å and the angles 90.00°, 90.00° and 90.00°. The inequivalent atoms are Li at (0.0000, 0.0000, 0.0000), Pr at (0.0000, 0.5000, 0.5000), Hg at (0.5000, 0.5000, 0.0000) and O at (0.0000, 0.0000, 0.5000).

The calculation puts the raw formation energy at -1.295 eV per atom. Its total magnetic moment is 0.00 μB per formula unit.